No. 1
Compound: KGaMo
Source: OQMD via LeMat-Bulk
Functional: PBE
Structure: relaxed

Cell: 4.8755 4.8755 4.8755 Å, 60.00 60.00 60.00°
Fractional coordinates of all 3 atoms:
K  0.0000  0.0000  0.0000
Ga  0.2500  0.2500  0.2500
Mo  0.5000  0.5000  0.5000

Summary:
calculated volume: 81.95 Å³/f.u.
distance to the lowest polymorph of the same formula: 0 meV/atom

=====

No. 2
Compound: KNdGa
Source: OQMD via LeMat-Bulk
Functional: PBE
Structure: relaxed

Cell: 5.1479 5.1479 5.1479 Å, 60.00 60.00 60.00°
Fractional coordinates of all 3 atoms:
K  0.0000  0.0000  0.0000
Nd  0.2500  0.2500  0.2500
Ga  0.7500  0.7500  0.7500

Summary:
calculated volume: 96.47 Å³/f.u.
uncorrected energy: -2.293 eV per atom